Entry 1:
## La2DyAg3 (PBE)

Data for a geometry-optimized La2DyAg3 structure.

* E_tot: -4.114 eV per atom

Structure (CIF):
```
data_La2DyAg3
_symmetry_space_group_name_H-M 'P 4/m m m'
_symmetry_Int_Tables_number 123
_symmetry_space_group_name_Hall '-P 4 2'
_cell_length_a 3.724
_cell_length_b 3.724
_cell_length_c 11.491
_cell_angle_alpha 90.00
_cell_angle_beta 90.00
_cell_angle_gamma 90.00
loop_
_atom_site_label
_atom_site_type_symbol
_atom_site_fract_x
_atom_site_fract_y
_atom_site_fract_z
_atom_site_occupancy
La1 La 0.000 0.000 0.173 1
Dy1 Dy 0.000 0.000 0.500 1
Ag1 Ag 0.500 0.500 0.000 1
Ag2 Ag 0.500 0.500 0.353 1
```

Entry 2:
## LaDy4Ag (PBE)

Data for a geometry-optimized LaDy4Ag structure.

* energy above the lowest structure with this stoichiometry: 0.1329 eV/atom

Structure (CIF):
```
data_LaDy4Ag
_symmetry_space_group_name_H-M 'C m c 21'
_symmetry_Int_Tables_number 36
_cell_length_a 5.454
_cell_length_b 21.232
_cell_length_c 6.523
_cell_angle_alpha 90.00
_cell_angle_beta 90.00
_cell_angle_gamma 90.00
loop_
_symmetry_equiv_pos_as_xyz
'x,y,z'
'-x,-y,z+1/2'
'-x,y,z'
'x,-y,z+1/2'
'x+1/2,y+1/2,z'
'-x+1/2,-y+1/2,z+1/2'
'-x+1/2,y+1/2,z'
'x+1/2,-y+1/2,z+1/2'
loop_
_atom_site_label
_atom_site_type_symbol
_atom_site_fract_x
_atom_site_fract_y
_atom_site_fract_z
_atom_site_occupancy
La1 La 0.000 0.136 0.000 1
Dy1 Dy 0.000 0.067 0.511 1
Dy2 Dy 0.000 0.259 0.629 1
Dy3 Dy 0.000 0.327 0.144 1
Dy4 Dy 0.000 0.468 0.353 1
Ag1 Ag 0.000 0.398 0.754 1
```

Entry 3:
## La6DyAg2 (PBE)

Data for a geometry-optimized La6DyAg2 structure.

* E_tot: -4.539 eV per atom

Structure (CIF):
```
data_La6DyAg2
_symmetry_space_group_name_H-M 'C 1 2/m 1'
_symmetry_Int_Tables_number 12
_cell_length_a 13.020
_cell_length_b 3.807
_cell_length_c 12.254
_cell_angle_alpha 90.00
_cell_angle_beta 107.68
_cell_angle_gamma 90.00
loop_
_symmetry_equiv_pos_as_xyz
'x,y,z'
'-x,-y,-z'
'-x,y,-z'
'x,-y,z'
'x+1/2,y+1/2,z'
'-x+1/2,-y+1/2,-z'
'-x+1/2,y+1/2,-z'
'x+1/2,-y+1/2,z'
loop_
_atom_site_label
_atom_site_type_symbol
_atom_site_fract_x
_atom_site_fract_y
_atom_site_fract_z
_atom_site_occupancy
La1 La 0.028 0.000 0.331 1
La2 La 0.185 0.500 0.877 1
La3 La 0.190 0.500 0.594 1
Dy1 Dy 0.000 0.000 0.000 1
Ag1 Ag 0.137 0.500 0.182 1
```

Entry 4:
## LaDy2Ag3 (PBE)

Data for a geometry-optimized LaDy2Ag3 structure.

* E_tot: -4.084 eV per atom

Structure (CIF):
```
data_LaDy2Ag3
_symmetry_space_group_name_H-M 'P 4/m m m'
_symmetry_Int_Tables_number 123
_symmetry_space_group_name_Hall '-P 4 2'
_cell_length_a 3.666
_cell_length_b 3.666
_cell_length_c 11.264
_cell_angle_alpha 90.00
_cell_angle_beta 90.00
_cell_angle_gamma 90.00
loop_
_atom_site_label
_atom_site_type_symbol
_atom_site_fract_x
_atom_site_fract_y
_atom_site_fract_z
_atom_site_occupancy
La1 La 0.000 0.000 0.000 1
Dy1 Dy 0.000 0.000 0.339 1
Ag1 Ag 0.500 0.500 0.187 1
Ag2 Ag 0.500 0.500 0.500 1
```